This record from Alexandria describes a relaxed structure of BePIrAu. The functional is GGA-PBE.

## Properties
**Formation energy**: -0.20 eV per atom
**Space-group type**: Cm (8)
**Distance to the lowest polymorph of the same formula**: 60 meV per atom

a b c (Å): 4.3203 4.3203 5.7415
angles (deg): 127.62 127.62 46.84
Closest atoms and distances in Å follow each position.
Sites, in units of the cell vectors:
1 Be 0.0000 0.0000 0.0000  1 P 2.18, 1 Ir 2.39, 2 Au 2.41
2 P 0.9982 0.9982 0.3787  1 Be 2.18, 3 Ir 2.34-2.41
3 Ir 0.7270 0.7270 0.4424  3 P 2.34-2.41, 3 Be 2.39-2.56
4 Au 0.6181 0.6181 0.8401  3 Be 2.41-2.51, 1 P 2.50

=====

This record from Alexandria describes a relaxed structure of BePIrAu. The functional is GGA-PBE.

## Properties
**Formation energy**: -0.22 eV per atom
**Space-group type**: R3m (160)
**Distance to the lowest polymorph of the same formula**: 44 meV per atom

a b c (Å): 5.8781 5.8781 5.8781
angles (deg): 35.28 35.28 35.28
Closest atoms and distances in Å follow each position.
Sites, in units of the cell vectors:
1 Be 0.0000 0.0000 0.0000  1 Ir 2.30, 3 Au 2.37, 3 P 2.44
2 P 0.7466 0.7466 0.7466  3 Ir 2.28, 3 Be 2.44, 1 Au 2.50
3 Ir 0.1390 0.1390 0.1390  3 P 2.28, 1 Be 2.30
4 Au 0.5954 0.5954 0.5954  3 Be 2.37, 1 P 2.50

=====

This record from Alexandria describes a relaxed structure of BePIrAu. The functional is GGA-PBE.

## Properties
**Formation energy**: -0.16 eV per atom
**Space-group type**: Imm2 (44)
**Distance to the lowest polymorph of the same formula**: 94 meV per atom

a b c (Å): 7.1277 7.1277 7.1277
angles (deg): 156.90 155.24 34.12
Closest atoms and distances in Å follow each position.
Sites, in units of the cell vectors:
1 Be 0.0000 0.0000 0.0000  1 P 2.16, 4 Au 2.41
2 P 0.1587 0.1587 0.0000  1 Be 2.16, 4 Ir 2.38
3 Ir 0.7419 0.7419 0.0000  4 P 2.38
4 Au 0.4123 0.4123 0.0000  4 Be 2.41

=====

This record from Alexandria describes a relaxed structure of BePIrAu. The functional is GGA-PBE.

## Properties
**Formation energy**: -0.14 eV per atom
**Space-group type**: P1 (1)
**Distance to the lowest polymorph of the same formula**: 124 meV per atom

a b c (Å): 3.0401 4.1408 5.5108
angles (deg): 94.22 105.80 111.52
Closest atoms and distances in Å follow each position.
Sites, in units of the cell vectors:
1 Be 0.0000 0.0000 0.0000  3 Ir 2.31-2.55, 1 Au 2.32, 2 P 2.39-2.40
2 P 0.3555 0.0427 0.6592  3 Ir 2.31-2.41, 1 Au 2.38, 2 Be 2.39-2.40
3 Ir 0.1508 0.4879 0.8055  3 P 2.31-2.41, 3 Be 2.31-2.55
4 Au 0.9506 0.6021 0.2768  1 Be 2.32, 1 P 2.38

=====

This record from Alexandria describes a relaxed structure of BePIrAu. The functional is GGA-PBE.

## Properties
**Formation energy**: -0.26 eV per atom
**Space-group type**: Cm (8)
**Distance to the lowest polymorph of the same formula**: 0 meV per atom

a b c (Å): 3.4070 3.4070 6.7023
angles (deg): 104.38 104.38 59.33
Closest atoms and distances in Å follow each position.
Sites, in units of the cell vectors:
1 Be 0.0000 0.0000 0.0000  3 Ir 2.39, 3 Au 2.41-2.43, 1 P 2.59
2 P 0.1305 0.1305 0.4025  3 Ir 2.31, 1 Au 2.42
3 Ir 0.4007 0.4007 0.2129  3 P 2.31, 3 Be 2.39
4 Au 0.2574 0.2574 0.7790  3 Be 2.41-2.43, 1 P 2.42

=====

This record from Alexandria describes a relaxed structure of BePIrAu. The functional is GGA-PBE.

## Properties
**Formation energy**: -0.18 eV per atom
**Space-group type**: Cm (8)
**Distance to the lowest polymorph of the same formula**: 83 meV per atom

a b c (Å): 4.1363 4.1363 5.5527
angles (deg): 94.23 94.23 41.96
Closest atoms and distances in Å follow each position.
Sites, in units of the cell vectors:
1 Be 0.0000 0.0000 0.0000  3 Ir 2.36-2.51, 2 P 2.40, 2 Au 2.40
2 P 0.4485 0.4485 0.3265  3 Ir 2.30-2.41, 1 Au 2.38, 2 Be 2.40
3 Ir 0.7364 0.7364 0.1873  3 P 2.30-2.41, 3 Be 2.36-2.51
4 Au 0.6107 0.6107 0.7089  1 P 2.38, 2 Be 2.40

=====

This record from Alexandria describes a relaxed structure of BePIrAu. The functional is GGA-PBE.

## Properties
**Formation energy**: -0.19 eV per atom
**Space-group type**: Amm2 (38)
**Distance to the lowest polymorph of the same formula**: 69 meV per atom

a b c (Å): 3.6713 5.8457 5.8457
angles (deg): 28.90 90.00 90.00
Closest atoms and distances in Å follow each position.
Sites, in units of the cell vectors:
1 Be 0.0000 0.0000 0.0000  4 Ir 2.35, 2 Au 2.48
2 P 0.5000 0.8215 0.8215  2 Ir 2.32, 2 Au 2.46
3 Ir 0.5000 0.4808 0.4808  2 P 2.32, 4 Be 2.35
4 Au 0.0000 0.6767 0.6767  2 P 2.46, 2 Be 2.48

=====

This record from Alexandria describes a relaxed structure of BePIrAu. The functional is GGA-PBE.

## Properties
**Formation energy**: -0.18 eV per atom
**Space-group type**: Cm (8)
**Distance to the lowest polymorph of the same formula**: 82 meV per atom

a b c (Å): 3.3989 3.3989 6.7603
angles (deg): 104.26 104.26 59.27
Closest atoms and distances in Å follow each position.
Sites, in units of the cell vectors:
1 Be 0.0000 0.0000 0.0000  3 Au 2.36-2.37, 3 Ir 2.47-2.48
2 P 0.4754 0.4754 0.4197  3 Ir 2.29, 1 Au 2.43
3 Ir 0.7465 0.7465 0.2353  3 P 2.29, 3 Be 2.47-2.48
4 Au 0.6018 0.6018 0.7948  3 Be 2.36-2.37, 1 P 2.43

=====

This record from Alexandria describes a relaxed structure of BePIrAu. The functional is GGA-PBE.

## Properties
**Formation energy**: -0.06 eV per atom
**Space-group type**: Pm (6)
**Distance to the lowest polymorph of the same formula**: 199 meV per atom

a b c (Å): 3.7356 2.9114 5.4260
angles (deg): 90.00 109.94 90.00
Closest atoms and distances in Å follow each position.
Sites, in units of the cell vectors:
1 Be 0.0000 0.0000 0.0000  1 P 2.27, 4 Au 2.38-2.39, 2 Ir 2.41
2 P 0.7789 0.0000 0.5549  1 Be 2.27, 4 Ir 2.53-2.54
3 Ir 0.1887 0.5000 0.3778  2 Be 2.41, 4 P 2.53-2.54
4 Au 0.4723 0.5000 0.9447  4 Be 2.38-2.39

=====

This record from Alexandria describes a relaxed structure of BePIrAu. The functional is GGA-PBE.

## Properties
**Formation energy**: -0.24 eV per atom
**Space-group type**: R3m (160)
**Distance to the lowest polymorph of the same formula**: 20 meV per atom

a b c (Å): 6.2612 6.2612 6.2612
angles (deg): 32.55 32.55 32.55
Closest atoms and distances in Å follow each position.
Sites, in units of the cell vectors:
1 Be 0.0000 0.0000 0.0000  3 Au 2.30, 3 Ir 2.35, 1 P 2.40
2 P 0.1350 0.1350 0.1350  3 Ir 2.36, 1 Be 2.40, 1 Au 2.43
3 Ir 0.7341 0.7341 0.7341  3 Be 2.35, 3 P 2.36
4 Au 0.2718 0.2718 0.2718  3 Be 2.30, 1 P 2.43

=====

This record from Alexandria describes a relaxed structure of BePIrAu. The functional is GGA-PBE.

## Properties
**Formation energy**: -0.22 eV per atom
**Space-group type**: Imm2 (44)
**Distance to the lowest polymorph of the same formula**: 42 meV per atom

a b c (Å): 6.8776 6.8776 6.8776
angles (deg): 155.65 154.32 35.68
Closest atoms and distances in Å follow each position.
Sites, in units of the cell vectors:
1 Be 0.0000 0.0000 0.0000  4 Ir 2.42, 4 Au 2.63
2 P 0.7279 0.2279 0.5000  2 Ir 2.31, 2 Au 2.51
3 Ir 0.5908 0.5908 0.0000  2 P 2.31, 4 Be 2.42
4 Au 0.3798 0.3798 0.0000  2 P 2.51, 4 Be 2.63, 1 Ir 2.76

=====

This record from Alexandria describes a relaxed structure of BePIrAu. The functional is GGA-PBE.

## Properties
**Formation energy**: -0.14 eV per atom
**Space-group type**: Cm (8)
**Distance to the lowest polymorph of the same formula**: 115 meV per atom

a b c (Å): 4.0982 4.0982 5.7547
angles (deg): 96.37 96.37 41.26
Closest atoms and distances in Å follow each position.
Sites, in units of the cell vectors:
1 Be 0.0000 0.0000 0.0000  3 Ir 2.38-2.40, 2 P 2.41, 2 Au 2.54
2 P 0.3991 0.3991 0.6753  3 Ir 2.36-2.37, 1 Au 2.40, 2 Be 2.41
3 Ir 0.6983 0.6983 0.8320  3 P 2.36-2.37, 3 Be 2.38-2.40
4 Au 0.3281 0.3281 0.2571  1 P 2.40, 2 Be 2.54

=====

This record from Alexandria describes a relaxed structure of BeIrPbAu2. The functional is GGA-PBE.

## Properties
**Formation energy**: 0.24 eV per atom
**Space-group type**: P4/mmm (123)

a b c (Å): 4.5867 4.5867 4.3664
angles (deg): 90.00 90.00 90.00
Closest atoms and distances in Å follow each position.
Sites, in units of the cell vectors:
1 Be 0.0000 0.0000 0.0000  2 Ir 2.18, 4 Au 2.29
2 Ir 0.0000 0.0000 0.5000  2 Be 2.18
3 Pb 0.5000 0.5000 0.5000  8 Au 3.17, 4 Ir 3.24
4 Au 0.0000 0.5000 0.0000  2 Be 2.29
5 Au 0.5000 0.0000 0.0000  2 Be 2.29

=====

This record from Alexandria describes a relaxed structure of Be2IrPtAu. The functional is GGA-PBE.

## Properties
**Formation energy**: 0.64 eV per atom
**Space-group type**: P4/mmm (123)

a b c (Å): 4.1596 4.1596 4.9666
angles (deg): 90.00 90.00 90.00
Closest atoms and distances in Å follow each position.
Sites, in units of the cell vectors:
1 Be 0.0000 0.5000 0.0000  2 Ir 2.08
2 Be 0.5000 0.0000 0.0000  2 Ir 2.08
3 Ir 0.0000 0.0000 0.0000  4 Be 2.08
4 Pt 0.0000 0.0000 0.5000  2 Ir 2.48
5 Au 0.5000 0.5000 0.5000  4 Pt 2.94, 8 Be 3.24

=====

This record from Alexandria describes a relaxed structure of BeTcIr2Au. The functional is GGA-PBE.

## Properties
**Formation energy**: 2.54 eV per atom
**Space-group type**: P4/mmm (123)

a b c (Å): 4.8939 4.8939 4.8756
angles (deg): 90.00 90.00 90.00
Closest atoms and distances in Å follow each position.
Sites, in units of the cell vectors:
1 Be 0.0000 0.0000 0.0000  8 Ir 3.45, 4 Tc 3.46
2 Tc 0.5000 0.5000 0.0000  2 Au 2.44
3 Ir 0.0000 0.5000 0.5000  2 Au 2.45
4 Ir 0.5000 0.0000 0.5000  2 Au 2.45
5 Au 0.5000 0.5000 0.5000  2 Tc 2.44, 4 Ir 2.45

=====

This record from Alexandria describes a relaxed structure of BeTe2IrAu. The functional is GGA-PBE.

## Properties
**Energy relative to the elements, uncorrected**: 764 kJ/mol of formula units
**Space-group type**: P4/mmm (123)

a b c (Å): 5.3287 5.3287 5.0251
angles (deg): 90.00 90.00 90.00
Closest atoms and distances in Å follow each position.
Sites, in units of the cell vectors:
1 Be 0.0000 0.0000 0.0000  8 Te 3.66, 4 Ir 3.77
2 Te 0.0000 0.5000 0.5000  2 Au 2.66
3 Te 0.5000 0.0000 0.5000  2 Au 2.66
4 Ir 0.5000 0.5000 0.0000  2 Au 2.51
5 Au 0.5000 0.5000 0.5000  2 Ir 2.51, 4 Te 2.66

=====

This record from Alexandria describes a relaxed structure of BeZnIrAu. The functional is GGA-PBE.

## Properties
**Formation energy**: -0.18 eV per atom
**Space-group type**: P4mm (99)
**Distance to the lowest polymorph of the same formula**: 131 meV per atom

a b c (Å): 2.9795 2.9795 6.2904
angles (deg): 90.00 90.00 90.00
Closest atoms and distances in Å follow each position.
Sites, in units of the cell vectors:
1 Be 0.0000 0.0000 0.0000  4 Ir 2.29
2 Zn 0.5000 0.5000 0.2637  1 Ir 2.57, 4 Be 2.68, 4 Au 2.69
3 Ir 0.5000 0.5000 0.8559  4 Be 2.29, 1 Zn 2.57
4 Au 0.0000 0.0000 0.5305  4 Zn 2.69, 4 Ir 2.94, 1 Be 2.95, 4 Au 2.98

=====

This record from Alexandria describes a relaxed structure of BeZnIrAu. The functional is GGA-PBE.

## Properties
**Formation energy**: -0.14 eV per atom
**Space-group type**: Imm2 (44)
**Distance to the lowest polymorph of the same formula**: 171 meV per atom

a b c (Å): 5.2900 5.2900 5.2900
angles (deg): 147.75 134.28 57.05
Closest atoms and distances in Å follow each position.
Sites, in units of the cell vectors:
1 Be 0.0000 0.0000 0.0000  2 Ir 2.27
2 Zn 0.7467 0.2467 0.5000  4 Ir 2.59, 2 Be 2.78, 2 Au 2.87
3 Ir 0.1860 0.6860 0.5000  2 Be 2.27
4 Au 0.4621 0.4621 0.0000  4 Be 2.55

=====

This record from Alexandria describes a relaxed structure of BeZnIrAu. The functional is GGA-PBE.

## Properties
**Formation energy**: -0.15 eV per atom
**Space-group type**: Amm2 (38)
**Distance to the lowest polymorph of the same formula**: 157 meV per atom

a b c (Å): 3.6098 5.7486 5.7486
angles (deg): 28.39 90.00 90.00
Closest atoms and distances in Å follow each position.
Sites, in units of the cell vectors:
1 Be 0.0000 0.0000 0.0000  4 Ir 2.35, 1 Au 2.44, 2 Zn 2.49
2 Zn 0.5000 0.8464 0.8464  2 Be 2.49, 2 Ir 2.65, 4 Au 2.70
3 Ir 0.5000 0.5473 0.5473  4 Be 2.35
4 Au 0.0000 0.2185 0.2185  1 Be 2.44, 4 Zn 2.70

=====

This record from Alexandria describes a relaxed structure of BeZnIrAu. The functional is GGA-PBE.

## Properties
**Formation energy**: -0.20 eV per atom
**Space-group type**: P3m1 (156)
**Distance to the lowest polymorph of the same formula**: 111 meV per atom

a b c (Å): 2.8843 2.8843 7.7588
angles (deg): 90.00 90.00 120.00
Closest atoms and distances in Å follow each position.
Sites, in units of the cell vectors:
1 Be 0.0000 0.0000 0.0000  3 Ir 2.30, 3 Au 2.47
2 Zn 0.0000 0.0000 0.5258  3 Ir 2.67, 3 Au 2.81, 6 Zn 2.88
3 Ir 0.6667 0.3333 0.7952  3 Be 2.30
4 Au 0.6667 0.3333 0.2348  3 Be 2.47

=====

DOS(E_F) in states/eV/f.u., matching the order above: 0.916; 1.026; 1.671; 1.471; 0.835; 1.468; 1.104; 1.311; 1.446; 0.437; 1.377; 1.208; 3.263; 7.131; 7.804; 4.786; 0.731; 1.008; 1.193; 1.725